Zr3As4Pt3: optimized geometry, PBE-GGA.

Lattice parameters (Å, degrees): 7.868 7.868 7.868 109.47 109.47 109.47
Atoms (fractional coordinates):
Pt  0.750  0.375  0.625
Pt  0.125  0.875  0.250
Pt  0.625  0.750  0.375
Pt  0.875  0.250  0.125
Pt  0.375  0.625  0.750
Pt  0.250  0.125  0.875
As  0.000  0.816  0.500
As  0.500  0.000  0.316
As  0.316  0.500  0.000
As  0.000  0.316  0.500
As  0.500  0.000  0.816
As  0.184  0.184  0.184
As  0.684  0.684  0.684
As  0.816  0.500  0.000
Zr  0.375  0.250  0.625
Zr  0.125  0.750  0.875
Zr  0.625  0.375  0.250
Zr  0.250  0.625  0.375
Zr  0.750  0.875  0.125
Zr  0.875  0.125  0.750

Computed properties:
For the total energy, the calculation gives -7.113 eV/atom.